No. 1
DFT (GGA-PBE) results for a relaxed TlTe3 crystal.

abc: 9.5062 12.4750 7.1635
angles: 90.00 90.00 90.00
Last column: nearest neighbours and their distance in Å.
Positions (direct):
Tl 0.2500 0.0933 0.1892  6 Te 3.50-3.70, 1 Tl 3.91
Tl 0.2500 0.4067 0.1892  6 Te 3.50-3.70, 1 Tl 3.91
Tl 0.2500 0.7500 0.3807  8 Te 3.47-3.69
Tl 0.7500 0.2500 0.6193  8 Te 3.47-3.69
Tl 0.7500 0.5933 0.8108  6 Te 3.50-3.70, 1 Tl 3.91
Tl 0.7500 0.9067 0.8108  6 Te 3.50-3.70, 1 Tl 3.91
Te 0.0264 0.0697 0.6591  3 Te 2.91-3.12
Te 0.0264 0.4303 0.6591  3 Te 2.91-3.12
Te 0.0377 0.7500 0.9544  2 Te 3.01
Te 0.2500 0.2500 0.6278  4 Te 3.10
Te 0.2500 0.5899 0.8144  4 Te 3.01-3.12
Te 0.2500 0.9101 0.8144  4 Te 3.01-3.12
Te 0.4623 0.7500 0.9544  2 Te 3.01
Te 0.4736 0.0697 0.6591  3 Te 2.91-3.12
Te 0.4736 0.4303 0.6591  3 Te 2.91-3.12
Te 0.5264 0.5697 0.3409  3 Te 2.91-3.12
Te 0.5264 0.9303 0.3409  3 Te 2.91-3.12
Te 0.5377 0.2500 0.0456  2 Te 3.01
Te 0.7500 0.0899 0.1856  4 Te 3.01-3.12
Te 0.7500 0.4101 0.1856  4 Te 3.01-3.12
Te 0.7500 0.7500 0.3722  4 Te 3.10
Te 0.9623 0.2500 0.0456  2 Te 3.01
Te 0.9736 0.5697 0.3409  3 Te 2.91-3.12
Te 0.9736 0.9303 0.3409  3 Te 2.91-3.12

Results
Calculated volume: 35.40 Å³/atom
Crystal system: orthorhombic
Spin magnetization: 0.0 μB/f.u.
E_form (uncorrected): -0.0833 eV per atom
VASP energy: -3.031 eV per atom


No. 2
DFT (GGA-PBE) results for a relaxed Ac5Nd2Ho crystal.

abc: 7.6445 15.3375 5.5248
angles: 90.00 90.00 90.00
Last column: nearest neighbours and their distance in Å.
Positions (direct):
Ac 0.0000 0.0000 0.0000  2 Ho 3.82, 4 Nd 3.83, 6 Ac 3.88-3.91
Ac 0.0124 0.2547 0.0000  1 Ho 3.76, 4 Nd 3.82-3.93, 7 Ac 3.83-3.93
Ac 0.2391 0.6207 0.5000  4 Nd 3.75-3.92, 2 Ho 3.79, 6 Ac 3.87-3.93
Ac 0.2609 0.1207 0.5000  4 Nd 3.75-3.92, 2 Ho 3.79, 6 Ac 3.87-3.93
Ac 0.4876 0.7547 0.0000  1 Ho 3.76, 4 Nd 3.82-3.93, 7 Ac 3.83-3.93
Ac 0.5000 0.5000 0.0000  2 Ho 3.82, 4 Nd 3.83, 6 Ac 3.88-3.91
Ac 0.5124 0.2453 0.0000  1 Ho 3.76, 4 Nd 3.82-3.93, 7 Ac 3.83-3.93
Ac 0.7391 0.8793 0.5000  4 Nd 3.75-3.92, 2 Ho 3.79, 6 Ac 3.87-3.93
Ac 0.7609 0.3793 0.5000  4 Nd 3.75-3.92, 2 Ho 3.79, 6 Ac 3.87-3.93
Ac 0.9876 0.7453 0.0000  1 Ho 3.76, 4 Nd 3.82-3.93, 7 Ac 3.83-3.93
Nd 0.2429 0.8764 0.5000  10 Ac 3.75-3.93, 2 Ho 3.88
Nd 0.2571 0.3764 0.5000  10 Ac 3.75-3.93, 2 Ho 3.88
Nd 0.7429 0.6236 0.5000  10 Ac 3.75-3.93, 2 Ho 3.88
Nd 0.7571 0.1236 0.5000  10 Ac 3.75-3.93, 2 Ho 3.88
Ho 0.0000 0.5000 0.0000  8 Ac 3.76-3.82, 4 Nd 3.88
Ho 0.5000 0.0000 0.0000  8 Ac 3.76-3.82, 4 Nd 3.88

Results
Calculated volume: 40.49 Å³/atom
Crystal system: orthorhombic
Spin magnetization: 0.0 μB/f.u.
VASP energy: -4.294 eV per atom


No. 3
DFT (GGA-PBE) results for a relaxed SrSn2Bi crystal.

abc: 6.9129 6.9129 7.6195
angles: 90.00 90.00 133.06
Last column: nearest neighbours and their distance in Å.
Positions (direct):
Sr 0.1128 0.8872 0.7500  6 Sn 3.57-3.80, 5 Bi 3.59-3.89
Sr 0.8872 0.1128 0.2500  6 Sn 3.57-3.80, 5 Bi 3.59-3.89
Sn 0.3873 0.6127 0.5489  2 Sn 2.95-3.06, 2 Bi 3.23
Sn 0.3873 0.6127 0.9511  2 Sn 2.95-3.06, 2 Bi 3.23
Sn 0.6127 0.3873 0.0489  2 Sn 2.95-3.06, 2 Bi 3.23
Sn 0.6127 0.3873 0.4511  2 Sn 2.95-3.06, 2 Bi 3.23
Bi 0.1702 0.8298 0.2500  6 Sn 3.23-3.57, 1 Sr 3.59
Bi 0.8298 0.1702 0.7500  6 Sn 3.23-3.57, 1 Sr 3.59

Results
Calculated volume: 33.25 Å³/atom
Crystal system: orthorhombic
Spin magnetization: 0.0 μB/f.u.
VASP energy: -3.725 eV per atom


No. 4
DFT (GGA-PBE) results for a relaxed Tm3Co5S12 crystal.

abc: 12.3907 12.3907 12.3907
angles: 109.47 109.47 109.47
Last column: nearest neighbours and their distance in Å.
Positions (direct):
Tm 0.1250 0.2500 0.3750  8 S 2.79-2.83
Tm 0.1250 0.3750 0.7500  8 S 2.79-2.83
Tm 0.2500 0.3750 0.1250  8 S 2.79-2.83
Tm 0.2500 0.8750 0.6250  8 S 2.79-2.83
Tm 0.3750 0.1250 0.2500  8 S 2.79-2.83
Tm 0.3750 0.7500 0.1250  8 S 2.79-2.83
Tm 0.6250 0.2500 0.8750  8 S 2.79-2.83
Tm 0.6250 0.8750 0.7500  8 S 2.79-2.83
Tm 0.7500 0.1250 0.3750  8 S 2.79-2.83
Tm 0.7500 0.6250 0.8750  8 S 2.79-2.83
Tm 0.8750 0.6250 0.2500  8 S 2.79-2.83
Tm 0.8750 0.7500 0.6250  8 S 2.79-2.83
Co 0.0000 0.0000 0.0000  6 S 2.28
Co 0.0000 0.0000 0.5000  6 S 2.28
Co 0.0000 0.5000 0.0000  6 S 2.28
Co 0.0000 0.5000 0.5000  6 S 2.28
Co 0.1250 0.7500 0.8750  4 S 2.17
Co 0.1250 0.8750 0.2500  4 S 2.17
Co 0.2500 0.1250 0.8750  4 S 2.17
Co 0.2500 0.6250 0.3750  4 S 2.17
Co 0.3750 0.2500 0.6250  4 S 2.17
Co 0.3750 0.6250 0.7500  4 S 2.17
Co 0.5000 0.0000 0.0000  6 S 2.28
Co 0.5000 0.0000 0.5000  6 S 2.28
Co 0.5000 0.5000 0.0000  6 S 2.28
Co 0.5000 0.5000 0.5000  6 S 2.28
Co 0.6250 0.3750 0.2500  4 S 2.17
Co 0.6250 0.7500 0.3750  4 S 2.17
Co 0.7500 0.3750 0.6250  4 S 2.17
Co 0.7500 0.8750 0.1250  4 S 2.17
Co 0.8750 0.1250 0.7500  4 S 2.17
Co 0.8750 0.2500 0.1250  4 S 2.17
S 0.0256 0.2018 0.1156  2 Co 2.17-2.28
S 0.0256 0.3238 0.9100  2 Co 2.17-2.28
S 0.0862 0.7018 0.6762  2 Co 2.17-2.28
S 0.0862 0.8844 0.4100  2 Co 2.17-2.28
S 0.0900 0.6156 0.4138  2 Co 2.17-2.28
S 0.0900 0.9744 0.6762  2 Co 2.17-2.28
S 0.1156 0.0256 0.2018  2 Co 2.17-2.28
S 0.1156 0.5900 0.9138  2 Co 2.17-2.28
S 0.1762 0.2018 0.5862  2 Co 2.17-2.28
S 0.1762 0.4744 0.5900  2 Co 2.17-2.28
S 0.2018 0.1156 0.0256  2 Co 2.17-2.28
S 0.2018 0.5862 0.1762  2 Co 2.17-2.28
S 0.2982 0.3238 0.9138  2 Co 2.17-2.28
S 0.2982 0.4744 0.3844  2 Co 2.17-2.28
S 0.3238 0.9100 0.0256  2 Co 2.17-2.28
S 0.3238 0.9138 0.2982  2 Co 2.17-2.28
S 0.3844 0.2982 0.4744  2 Co 2.17-2.28
S 0.3844 0.5862 0.9100  2 Co 2.17-2.28
S 0.4100 0.0862 0.8844  2 Co 2.17-2.28
S 0.4100 0.8238 0.5256  2 Co 2.17-2.28
S 0.4138 0.0900 0.6156  2 Co 2.17-2.28
S 0.4138 0.8238 0.7982  2 Co 2.17-2.28
S 0.4744 0.3844 0.2982  2 Co 2.17-2.28
S 0.4744 0.5900 0.1762  2 Co 2.17-2.28
S 0.5256 0.4100 0.8238  2 Co 2.17-2.28
S 0.5256 0.6156 0.7018  2 Co 2.17-2.28
S 0.5862 0.1762 0.2018  2 Co 2.17-2.28
S 0.5862 0.9100 0.3844  2 Co 2.17-2.28
S 0.5900 0.1762 0.4744  2 Co 2.17-2.28
S 0.5900 0.9138 0.1156  2 Co 2.17-2.28
S 0.6156 0.4138 0.0900  2 Co 2.17-2.28
S 0.6156 0.7018 0.5256  2 Co 2.17-2.28
S 0.6762 0.0862 0.7018  2 Co 2.17-2.28
S 0.6762 0.0900 0.9744  2 Co 2.17-2.28
S 0.7018 0.5256 0.6156  2 Co 2.17-2.28
S 0.7018 0.6762 0.0862  2 Co 2.17-2.28
S 0.7982 0.4138 0.8238  2 Co 2.17-2.28
S 0.7982 0.8844 0.9744  2 Co 2.17-2.28
S 0.8238 0.5256 0.4100  2 Co 2.17-2.28
S 0.8238 0.7982 0.4138  2 Co 2.17-2.28
S 0.8844 0.4100 0.0862  2 Co 2.17-2.28
S 0.8844 0.9744 0.7982  2 Co 2.17-2.28
S 0.9100 0.0256 0.3238  2 Co 2.17-2.28
S 0.9100 0.3844 0.5862  2 Co 2.17-2.28
S 0.9138 0.1156 0.5900  2 Co 2.17-2.28
S 0.9138 0.2982 0.3238  2 Co 2.17-2.28
S 0.9744 0.6762 0.0900  2 Co 2.17-2.28
S 0.9744 0.7982 0.8844  2 Co 2.17-2.28

Results
Calculated volume: 18.31 Å³/atom
Crystal system: cubic
Spin magnetization: 7.0 μB/f.u.
E_form (uncorrected): -0.8406 eV per atom
VASP energy: -5.764 eV per atom


No. 5
DFT (GGA-PBE) results for a relaxed UHgPd crystal.

abc: 4.8775 4.8775 3.0224
angles: 90.00 90.00 120.00
Last column: nearest neighbours and their distance in Å.
Positions (direct):
U 0.0000 0.0000 0.0000  2 U 3.02, 6 Hg 3.20, 6 Pd 3.20
Hg 0.3333 0.6667 0.5000  3 Pd 2.82, 2 Hg 3.02
Pd 0.6667 0.3333 0.5000  3 Hg 2.82, 2 Pd 3.02

Results
Calculated volume: 20.76 Å³/atom
Crystal system: hexagonal
Spin magnetization: 2.5 μB/f.u.
VASP energy: -5.703 eV per atom


No. 6
DFT (GGA-PBE) results for a relaxed Er6GeAs2Se3 crystal.

abc: 9.1260 9.1260 8.1543
angles: 103.02 103.02 25.82
Last column: nearest neighbours and their distance in Å.
Positions (direct):
Er 0.0020 0.0020 0.2400  2 Ge 2.82, 1 As 2.86, 3 Se 2.95
Er 0.3309 0.3309 0.4236  3 As 2.83, 3 Se 2.92-2.93
Er 0.3380 0.3380 0.9121  1 Ge 2.80, 2 As 2.85, 3 Se 2.93-2.94
Er 0.6620 0.6620 0.0879  1 Ge 2.80, 2 As 2.85, 3 Se 2.93-2.94
Er 0.6691 0.6691 0.5764  3 As 2.83, 3 Se 2.92-2.93
Er 0.9980 0.9980 0.7600  2 Ge 2.82, 1 As 2.86, 3 Se 2.95
Ge 0.5000 0.5000 0.0000  6 Er 2.80-2.82
As 0.1672 0.1672 0.3342  6 Er 2.83-2.86
As 0.8328 0.8328 0.6658  6 Er 2.83-2.86
Se 0.1680 0.1680 0.8326  6 Er 2.92-2.95
Se 0.5000 0.5000 0.5000  6 Er 2.93-2.95
Se 0.8320 0.8320 0.1674  6 Er 2.92-2.95

Results
Calculated volume: 23.98 Å³/atom
Crystal system: monoclinic
Spin magnetization: 0.0 μB/f.u.
E_form (uncorrected): -1.5851 eV per atom
VASP energy: -5.897 eV per atom


No. 7
DFT (GGA-PBE) results for a relaxed Hg2PtPb2 crystal.

abc: 7.2384 7.2384 5.3295
angles: 90.00 90.00 90.00
Last column: nearest neighbours and their distance in Å.
Positions (direct):
Hg 0.1688 0.3312 0.0000  6 Pb 3.20-3.56, 1 Hg 3.46
Hg 0.3312 0.8312 0.0000  6 Pb 3.20-3.56, 1 Hg 3.46
Hg 0.6688 0.1688 0.0000  6 Pb 3.20-3.56, 1 Hg 3.46
Hg 0.8312 0.6688 0.0000  6 Pb 3.20-3.56, 1 Hg 3.46
Pt 0.0000 0.0000 0.5000  4 Pb 2.73
Pt 0.5000 0.5000 0.5000  4 Pb 2.73
Pb 0.1579 0.6579 0.5000  2 Pt 2.73
Pb 0.3421 0.1579 0.5000  2 Pt 2.73
Pb 0.6579 0.8421 0.5000  2 Pt 2.73
Pb 0.8421 0.3421 0.5000  2 Pt 2.73

Results
Calculated volume: 27.92 Å³/atom
Distance to the lowest polymorph of the same formula: 0.000 eV per atom
Crystal system: tetragonal
Spin magnetization: 0.0 μB/f.u.
VASP energy: -2.714 eV per atom


No. 8
DFT (GGA-PBE) results for a relaxed TaSiIr2 crystal.

abc: 8.5510 8.5510 8.5510
angles: 19.32 19.32 19.32
Last column: nearest neighbours and their distance in Å.
Positions (direct):
Ta 0.0000 0.0000 0.0000  6 Ir 2.82, 6 Ta 2.87
Si 0.5000 0.5000 0.5000  6 Ir 2.53
Ir 0.2425 0.2425 0.2425  3 Si 2.53, 3 Ta 2.82
Ir 0.7575 0.7575 0.7575  3 Si 2.53, 3 Ta 2.82

Results
Calculated volume: 14.96 Å³/atom
Crystal system: trigonal
Spin magnetization: 0.0 μB/f.u.
E_form (uncorrected): -0.3675 eV per atom
VASP energy: -9.117 eV per atom


No. 9
DFT (GGA-PBE) results for a relaxed SbRhW2 crystal.

abc: 2.8801 4.3252 5.5076
angles: 90.00 100.40 90.00
Last column: nearest neighbours and their distance in Å.
Positions (direct):
Sb 0.0000 0.0000 0.0000  2 Rh 2.75, 4 W 2.80, 2 Sb 2.88
Rh 0.0000 0.0000 0.5000  2 Sb 2.75, 8 W 2.84-2.97, 2 Rh 2.88
W 0.4656 0.5000 0.2607  4 W 2.61-2.91, 2 Sb 2.80, 2 Rh 2.84
W 0.5344 0.5000 0.7393  4 W 2.61-2.91, 2 Sb 2.80, 2 Rh 2.84

Results
Calculated volume: 16.87 Å³/atom
Crystal system: monoclinic
Spin magnetization: 0.0 μB/f.u.
E_form (uncorrected): 0.3853 eV per atom
VASP energy: -8.960 eV per atom